! Pa2CdPt9 | Alexandria via LeMat-Bulk | PBE | relaxed; values from VASP
&SYSTEM
  ibrav = 0, nat = 12, ntyp = 3
/
ATOMIC_SPECIES
Pa 231.04 Pa.upf
Cd 112.41 Cd.upf
Pt 195.08 Pt.upf
CELL_PARAMETERS angstrom
4.155 0.000 0.000
0.000 4.155 0.000
0.000 0.000 12.252
ATOMIC_POSITIONS crystal
Pa 0.000 0.000 0.175
Pa 0.000 0.000 0.825
Cd 0.000 0.000 0.500
Pt 0.000 0.500 0.000
Pt 0.000 0.500 0.333
Pt 0.000 0.500 0.667
Pt 0.500 0.000 0.000
Pt 0.500 0.000 0.333
Pt 0.500 0.000 0.667
Pt 0.500 0.500 0.167
Pt 0.500 0.500 0.500
Pt 0.500 0.500 0.833
! **N(E_F)**: 0.125 states/eV per atom
! **Total magnetic moment**: 0.00 μB/cell
! **Formation enthalpy at 0 K**: -9.9 eV/f.u.
! **Symmetry**: No. 123